This record from Alexandria via LeMat-Bulk describes a relaxed structure of Ni2Mo. The functional is GGA-PBE.

Unit cell a=5.3243 b=3.6039 c=8.2540 alpha=90.00 beta=107.73 gamma=90.00
Closest atoms and distances in Å follow each position.
Fractional positions:
Ni  0.7451  0.5000  0.4986  5 Mo 2.56-2.72, 7 Ni 2.58-2.71
Ni  0.5806  0.5000  0.1653  4 Mo 2.53-2.79, 8 Ni 2.58-2.62
Mo  0.8921  0.5000  0.8259  9 Ni 2.53-2.79, 3 Mo 2.65-2.75
Ni  0.4194  0.5000  0.8347  4 Mo 2.53-2.79, 8 Ni 2.58-2.62
Ni  0.7451  0.0000  0.9986  5 Mo 2.56-2.72, 7 Ni 2.58-2.71
Mo  0.1079  0.0000  0.6741  9 Ni 2.53-2.79, 3 Mo 2.65-2.75
Mo  0.1079  0.5000  0.1741  9 Ni 2.53-2.79, 3 Mo 2.65-2.75
Mo  0.8921  0.0000  0.3259  9 Ni 2.53-2.79, 3 Mo 2.65-2.75
Ni  0.2549  0.0000  0.0014  5 Mo 2.56-2.72, 7 Ni 2.58-2.71
Ni  0.5806  0.0000  0.6653  4 Mo 2.53-2.79, 8 Ni 2.58-2.62
Ni  0.4194  0.0000  0.3347  4 Mo 2.53-2.79, 8 Ni 2.58-2.62
Ni  0.2549  0.5000  0.5014  5 Mo 2.56-2.72, 7 Ni 2.58-2.71

Results
Energy relative to the elements = 0.031 eV/atom
Space group = No. 12
Polymorph energy (0 for the lowest one) = 121 meV/atom
ρ = 9.4 g/cm3

---

This record from Alexandria via LeMat-Bulk describes a relaxed structure of Ni3Mo5. The functional is GGA-PBE.

Unit cell a=5.4764 b=5.4764 c=3.7354 alpha=90.00 beta=90.00 gamma=91.92
Closest atoms and distances in Å follow each position.
Fractional positions:
Mo  0.2619  0.7381  0.5000  6 Ni 2.64-2.84, 6 Mo 2.67-2.78
Mo  0.0000  0.0000  0.0000  4 Ni 2.70, 8 Mo 2.74-2.78
Mo  0.7381  0.2619  0.5000  6 Ni 2.64-2.84, 6 Mo 2.67-2.78
Ni  0.7438  0.7438  0.5000  2 Ni 2.63, 10 Mo 2.64-2.84
Mo  0.5000  0.0000  0.0000  6 Mo 2.67-2.74, 6 Ni 2.71-2.74
Ni  0.2562  0.2562  0.5000  2 Ni 2.63, 10 Mo 2.64-2.84
Mo  0.0000  0.5000  0.0000  6 Mo 2.67-2.74, 6 Ni 2.71-2.74
Ni  0.5000  0.5000  0.0000  4 Ni 2.63, 8 Mo 2.65-2.74

Results
Energy relative to the elements = 0.055 eV/atom
Space group = No. 65
Polymorph energy (0 for the lowest one) = 0 meV/atom
ρ = 9.7 g/cm3

---

This record from Alexandria via LeMat-Bulk describes a relaxed structure of NiMo. The functional is GGA-PBE.

Unit cell a=3.7783 b=4.6192 c=3.7769 alpha=114.13 beta=90.00 gamma=114.14
Closest atoms and distances in Å follow each position.
Fractional positions:
Ni  0.5000  0.0000  0.5000  4 Ni 2.67, 8 Mo 2.67
Mo  0.0000  0.0000  0.0000  4 Mo 2.67, 8 Ni 2.67
Ni  0.7500  0.5000  0.2500  4 Ni 2.67, 8 Mo 2.67
Mo  0.2500  0.5000  0.7500  4 Mo 2.67, 8 Ni 2.67

Results
Energy relative to the elements = 0.120 eV/atom
Space group = No. 141
ρ = 9.5 g/cm3

---

> Which of these has the highest ρ?

Ni3Mo5

---

> Which of these has the highest ρ?

Ni3Mo5

---

> What is the energy relative to the elements in the third record?

0.120 eV/atom